Entry 1:
BeI3N | Alexandria via LeMat-Bulk | PBE-GGA | relaxed; formation energy (no corrections) = 1.089 eV/atom; polymorph energy (0 for the lowest one) = 0.000 eV per atom; crystal system = cubic
1.0
5.326 0.000 0.000
0.000 5.326 0.000
0.000 0.000 5.326
I Be N
3 1 1
direct
0.000 0.500 0.000
0.000 0.000 0.500
0.500 0.000 0.000
0.000 0.000 0.000
0.500 0.500 0.500



Entry 2:
NaBeI2N | Alexandria via LeMat-Bulk | PBE-GGA | relaxed; formation energy (no corrections) = -0.041 eV/atom; polymorph energy (0 for the lowest one) = 0.000 eV per atom; crystal system = tetragonal
1.0
6.017 0.000 0.000
0.000 6.017 0.000
0.000 0.000 3.293
I Na Be N
2 1 1 1
direct
0.000 0.500 0.000
0.500 0.000 0.000
0.500 0.500 0.500
0.000 0.000 0.000
0.000 0.000 0.500



Entry 3:
NaBeI2N | Alexandria via LeMat-Bulk | PBE-GGA | relaxed; formation energy (no corrections) = 1.215 eV/atom; polymorph energy (0 for the lowest one) = 1.256 eV per atom; crystal system = tetragonal
1.0
5.886 0.000 0.000
0.000 5.886 0.000
0.000 0.000 4.477
I Na Be N
2 1 1 1
direct
0.000 0.500 0.000
0.500 0.000 0.000
0.000 0.000 0.000
0.500 0.500 0.500
0.000 0.000 0.500



Entry 4:
BeNbI2N | Alexandria via LeMat-Bulk | PBE-GGA | relaxed; formation energy (no corrections) = 0.546 eV/atom; polymorph energy (0 for the lowest one) = 0.000 eV per atom; crystal system = tetragonal
1.0
5.702 0.000 0.000
0.000 5.702 0.000
0.000 0.000 3.922
I Be Nb N
2 1 1 1
direct
0.000 0.500 0.000
0.500 0.000 0.000
0.500 0.500 0.500
0.000 0.000 0.000
0.000 0.000 0.500